# ScTeW2

ScTeW2 after structural relaxation (PBE, Alexandria via LeMat-Bulk).

Computed properties:
symmetry: No. 166
electronic total energy: -0.6002 Ry per atom
formation energy (no corrections): 0.68 eV/atom
spin magnetization: 0.00 μB/cell

abc: 3.1117 3.1117 27.4002
angles: 90.00 90.00 120.00
Last column: nearest neighbours and their distance in Å.
Fractional positions:
Sc  0.0000  0.0000  0.0000  6 W 3.00, 6 Sc 3.11
Sc  0.3333  0.6667  0.6667  6 W 3.00, 6 Sc 3.11
Sc  0.6667  0.3333  0.3333  6 W 3.00, 6 Sc 3.11
Te  0.0000  0.0000  0.5000  6 W 2.82, 6 Te 3.11
Te  0.3333  0.6667  0.1667  6 W 2.82, 6 Te 3.11
Te  0.6667  0.3333  0.8333  6 W 2.82, 6 Te 3.11
W  0.0000  0.0000  0.2458  3 Te 2.82, 3 Sc 3.00, 6 W 3.11
W  0.0000  0.0000  0.7542  3 Te 2.82, 3 Sc 3.00, 6 W 3.11
W  0.3333  0.6667  0.4209  3 Te 2.82, 3 Sc 3.00, 6 W 3.11
W  0.3333  0.6667  0.9125  3 Te 2.82, 3 Sc 3.00, 6 W 3.11
W  0.6667  0.3333  0.0875  3 Te 2.82, 3 Sc 3.00, 6 W 3.11
W  0.6667  0.3333  0.5791  3 Te 2.82, 3 Sc 3.00, 6 W 3.11